# PBE LaDy2Sn, relaxed
# Total magnetization = 0.4 μB/f.u.
# Energy above the most stable polymorph in this dataset = 0 meV per atom
# Uncorrected energy = -4.9692 eV per atom
# Energy of formation = -0.44 eV per atom
# Calculated volume = 32.08 Å³/atom
data_LaDy2Sn
_chemical_formula_sum 'La2 Dy4 Sn2'
_symmetry_space_group_name_H-M 'P 1'
_symmetry_Int_Tables_number 1
_cell_length_a 4.735
_cell_length_b 4.791
_cell_length_c 11.557
_cell_angle_alpha 90.00
_cell_angle_beta 101.78
_cell_angle_gamma 90.00
loop_
_symmetry_equiv_pos_as_xyz
'x,y,z'
loop_
_atom_site_label
_atom_site_type_symbol
_atom_site_fract_x
_atom_site_fract_y
_atom_site_fract_z
La1 La 0.193 0.250 0.386
La2 La 0.807 0.750 0.614
Dy1 Dy 0.057 0.750 0.114
Dy2 Dy 0.437 0.750 0.874
Dy3 Dy 0.563 0.250 0.126
Dy4 Dy 0.943 0.250 0.886
Sn1 Sn 0.340 0.250 0.680
Sn2 Sn 0.660 0.750 0.320

---

# PBE La3Dy2Sn3, relaxed
# Total magnetization = 0.5 μB/f.u.
# Uncorrected energy = -5.2075 eV per atom
# Energy of formation = -0.71 eV per atom
# Calculated volume = 31.74 Å³/atom
data_La3Dy2Sn3
_chemical_formula_sum 'La6 Dy4 Sn6'
_symmetry_space_group_name_H-M 'P 1'
_symmetry_Int_Tables_number 1
_cell_length_a 9.330
_cell_length_b 9.330
_cell_length_c 6.737
_cell_angle_alpha 90.00
_cell_angle_beta 90.00
_cell_angle_gamma 120.00
loop_
_symmetry_equiv_pos_as_xyz
'x,y,z'
loop_
_atom_site_label
_atom_site_type_symbol
_atom_site_fract_x
_atom_site_fract_y
_atom_site_fract_z
La1 La 0.000 0.246 0.250
La2 La 0.000 0.754 0.750
La3 La 0.246 0.000 0.250
La4 La 0.246 0.246 0.750
La5 La 0.754 0.000 0.750
La6 La 0.754 0.754 0.250
Dy1 Dy 0.333 0.667 0.000
Dy2 Dy 0.333 0.667 0.500
Dy3 Dy 0.667 0.333 0.000
Dy4 Dy 0.667 0.333 0.500
Sn1 Sn 0.000 0.398 0.750
Sn2 Sn 0.000 0.602 0.250
Sn3 Sn 0.398 0.000 0.750
Sn4 Sn 0.398 0.398 0.250
Sn5 Sn 0.602 0.000 0.250
Sn6 Sn 0.602 0.602 0.750

---

# PBE LaDySn, relaxed
# Total magnetization = 0.0 μB/f.u.
# Energy above the most stable polymorph in this dataset = 229 meV per atom
# Uncorrected energy = -4.9174 eV per atom
# Energy of formation = -0.41 eV per atom
# Calculated volume = 32.13 Å³/atom
data_LaDySn
_chemical_formula_sum 'La1 Dy1 Sn1'
_symmetry_space_group_name_H-M 'P 1'
_symmetry_Int_Tables_number 1
_cell_length_a 5.137
_cell_length_b 5.137
_cell_length_c 4.217
_cell_angle_alpha 90.00
_cell_angle_beta 90.00
_cell_angle_gamma 120.00
loop_
_symmetry_equiv_pos_as_xyz
'x,y,z'
loop_
_atom_site_label
_atom_site_type_symbol
_atom_site_fract_x
_atom_site_fract_y
_atom_site_fract_z
La1 La 0.000 0.000 0.000
Dy1 Dy 0.667 0.333 0.467
Sn1 Sn 0.333 0.667 0.577

---

Among the records above, which one has the lowest uncorrected energy? La3Dy2Sn3

---

Which of these has the lowest uncorrected energy? La3Dy2Sn3

---

The highest total magnetization belongs to which entry? La3Dy2Sn3